1.
Density functional theory data (SCAN) for a crystal of PtAuBr2 relaxed with PBEsol.

The uncorrected formation energy is -37 meV/atom. As for the total energy: -44.60 eV/atom.

The space group is R3m (No. 160, hexagonal axes) and the conventional cell measures 3.7511, 3.7511 and 22.1297 Å, with angles of 90.00, 90.00 and 120.00 degrees. Symmetry generates all atoms from Pt at (0.0000, 0.0000, 0.0000), Au at (0.0000, 0.0000, 0.2643), Br at (0.0000, 0.0000, 0.5259) and Br at (0.0000, 0.0000, 0.7275).

=====

2.
Density functional theory data (SCAN) for a crystal of Te3Br relaxed with PBEsol.

The uncorrected formation energy is 179 meV/atom. As for the total energy: -32.62 eV/atom.

The space group is Pmmm (No. 47) and the conventional cell measures 3.671, 4.319 and 7.233 Å, with angles of 90.00, 90.00 and 90.00 degrees. Symmetry generates all atoms from Te at (0.000, 0.000, 0.000), Te at (0.500, 0.500, 0.198) and Br at (0.000, 0.000, 0.500).

=====

3.
Density functional theory data (SCAN) for a crystal of BaSrMg2 relaxed with PBEsol.

As for the formation energy: -0.043 eV/atom. As for the total energy: -17.99 eV/atom.

The space group is Fm-3m (No. 225) and the conventional cell measures 8.413, 8.413 and 8.413 Å, with angles of 90.00, 90.00 and 90.00 degrees. Symmetry generates all atoms from Ba at (0.000, 0.000, 0.000), Sr at (0.000, 0.000, 0.500) and Mg at (0.250, 0.250, 0.250).